SmPd8Au4: relaxed, PBE-GGA.

The structure in extended XYZ format:
```
13
Lattice="5.447 0.000 0.000 2.724 6.534 0.000 2.724 0.000 6.534" Properties=species:S:1:pos:R:3 pbc="T T T"
Sm 0.000 0.000 0.000
Pd 2.724 2.288 4.246
Pd 2.724 4.246 2.288
Pd 5.447 4.246 4.246
Pd 5.447 2.288 2.288
Pd 5.447 5.139 1.395
Pd 5.447 1.395 5.139
Pd 2.724 1.395 1.395
Pd 8.171 5.139 5.139
Au 1.362 0.000 3.267
Au 4.085 0.000 3.267
Au 1.362 3.267 0.000
Au 4.085 3.267 0.000
```

- raw total energy (eV per atom) = -4.789
- energy of formation from the pure elements (eV per atom) = -0.22

BeAuSe: relaxed, PBE-GGA.

The structure in extended XYZ format:
```
3
Lattice="-1.649 -1.591 2.144 2.155 -1.479 -1.736 4.407 1.305 4.359" Properties=species:S:1:pos:R:3 pbc="T T T"
Be 1.192 -1.088 2.406
Au 0.338 0.100 0.334
Se 3.383 -0.777 2.026
```

- energy above the lowest structure with this stoichiometry (kJ per mole of atoms) = 5.2
- energy relative to the elements, uncorrected (eV/atom) = 0.01
- raw total energy (eV per atom) = -3.483

Sm5Tm2Pb4: relaxed, PBE-GGA.

The structure in extended XYZ format:
```
11
Lattice="3.550 0.000 0.000 0.000 7.509 0.517 -1.775 -1.497 13.512" Properties=species:S:1:pos:R:3 pbc="T T T"
Sm 0.000 5.905 4.231
Sm 1.775 0.107 9.798
Sm 0.000 0.902 6.523
Sm 1.775 0.000 0.000
Sm 1.775 5.111 7.506
Tm 1.775 4.044 11.536
Tm 0.000 1.969 2.492
Pb 1.775 3.186 4.894
Pb 0.000 4.901 1.236
Pb 0.000 2.826 9.135
Pb 1.775 1.111 12.792
```

- raw total energy (eV per atom) = -4.418
- energy of formation from the pure elements (eV per atom) = -0.11

CoSi2Se: relaxed, PBE-GGA.

The structure in extended XYZ format:
```
4
Lattice="3.494 0.000 0.000 0.000 3.491 0.000 0.000 0.000 4.995" Properties=species:S:1:pos:R:3 pbc="T T T"
Co 1.747 0.000 2.498
Se 0.000 1.745 2.498
Si 0.000 0.000 0.000
Si 1.747 1.745 0.000
```

- energy relative to the elements, uncorrected (eV/atom) = 0.45
- raw total energy (eV per atom) = -4.908

Li4OsAu: relaxed, PBE-GGA.

The structure in extended XYZ format:
```
6
Lattice="0.000 3.398 3.398 3.398 0.000 3.398 3.398 3.398 0.000" Properties=species:S:1:pos:R:3 pbc="T T T"
Li 2.557 4.239 4.239
Li 4.239 4.239 2.557
Li 4.239 2.557 4.239
Li 2.557 2.557 2.557
Os 5.097 5.097 5.097
Au 0.000 0.000 0.000
```

- raw total energy (eV per atom) = -3.444
- energy of formation from the pure elements (eV per atom) = 0.25

TaZn2W: relaxed, PBE-GGA.

The structure in extended XYZ format:
```
4
Lattice="-3.191 2.800 2.682 -3.459 -2.650 2.496 4.997 -0.231 -0.437" Properties=species:S:1:pos:R:3 pbc="T T T"
Ta -3.325 0.075 2.589
W -0.759 1.322 2.417
Zn 0.000 0.000 0.000
Zn -0.893 -1.403 2.324
```

- energy above the lowest structure with this stoichiometry (kJ per mole of atoms) = 13.4
- raw total energy (eV per atom) = -6.620
- energy of formation from the pure elements (eV per atom) = 0.22

ZnN2Cl: relaxed, PBE-GGA.

The structure in extended XYZ format:
```
4
Lattice="2.342 4.976 2.150 4.834 3.221 1.061 3.049 4.955 -1.009" Properties=species:S:1:pos:R:3 pbc="T T T"
Zn 5.112 6.576 1.101
N 9.125 11.738 1.965
N 1.100 1.414 0.237
Cl 0.000 0.000 0.000
```

- energy above the lowest structure with this stoichiometry (kJ per mole of atoms) = 0.0
- energy relative to the elements, uncorrected (eV/atom) = 1.18
- raw total energy (eV per atom) = -3.767

Tl2FeSe: relaxed, PBE-GGA.

The structure in extended XYZ format:
```
4
Lattice="8.424 0.006 -0.035 7.752 3.297 -0.035 0.862 0.176 3.636" Properties=species:S:1:pos:R:3 pbc="T T T"
Fe 12.778 2.610 2.674
Se 4.259 0.870 0.891
Tl 2.104 0.430 3.344
Tl 7.277 1.486 2.074
```

- energy above the lowest structure with this stoichiometry (kJ per mole of atoms) = 2.9
- energy relative to the elements, uncorrected (eV/atom) = 0.12
- raw total energy (eV per atom) = -4.052